Record 1
Computed, not measured: crystalline CaHg2Ir at its relaxed geometry at the GGA-PBEsol level of DFT.

```
CaHg2Ir
1.0
-1.404 0.823 -3.953
1.558 -3.760 -1.336
-3.747 -0.379 3.564
Ca Ir Hg
1 1 2
direct
0.000 0.500 0.000 Ca
0.500 0.000 0.000 Ir
0.750 0.750 0.501 Hg
0.250 0.250 0.499 Hg
```

Output
Final energy, eV/atom: -3.42
Space-group type: I4/mmm
Density of states at the Fermi level, states/eV/f.u.: 1.7
Formation energy from the elements, meV/atom: -150.2

***

Record 2
Computed, not measured: crystalline Ca2HgIr at its relaxed geometry at the GGA-PBEsol level of DFT.

```
Ca2HgIr
1.0
-3.486 0.105 0.487
-0.299 -4.830 -1.101
0.635 -1.131 4.790
Ca Ir Hg
2 1 1
direct
0.000 0.000 0.125 Ca
0.000 0.500 0.625 Ca
0.500 0.500 0.125 Ir
0.500 0.000 0.625 Hg
```

Output
Final energy, eV/atom: -3.94
Space-group type: P4/mmm
Density of states at the Fermi level, states/eV/f.u.: 2.5
Formation energy from the elements, meV/atom: -280.2

***

Record 3
Computed, not measured: crystalline CaHg2Ir at its relaxed geometry at the GGA-PBEsol level of DFT.

```
CaHg2Ir
1.0
4.253 0.000 0.000
0.000 4.253 0.000
0.000 0.000 4.287
Ca Ir Hg
1 1 2
direct
0.000 0.000 0.500 Ca
0.500 0.500 0.500 Ir
0.000 0.500 0.000 Hg
0.500 0.000 0.000 Hg
```

Output
Final energy, eV/atom: -3.34
Space-group type: P4/mmm
Density of states at the Fermi level, states/eV/f.u.: 2.1
Formation energy from the elements, meV/atom: -64.6

***

Record 4
Computed, not measured: crystalline CaHg4Ir at its relaxed geometry at the GGA-PBEsol level of DFT.

```
CaHg4Ir
1.0
-2.553 0.672 4.954
2.688 -1.328 4.746
1.685 4.053 3.499
Ca Hg Ir
1 4 1
direct
0.000 0.000 0.000 Ca
0.376 0.376 0.376 Hg
0.376 0.376 0.873 Hg
0.873 0.376 0.376 Hg
0.376 0.873 0.376 Hg
0.750 0.750 0.750 Ir
```

Output
Final energy, eV/atom: -2.22
Space-group type: F-43m
Density of states at the Fermi level, states/eV/f.u.: 4.3
Formation energy from the elements, meV/atom: 154.1

***

Record 5
Computed, not measured: crystalline CaHg3Ir at its relaxed geometry at the GGA-PBEsol level of DFT.

```
CaHg3Ir
1.0
5.431 0.000 0.000
0.000 5.431 0.000
0.000 0.000 5.431
Ca Ir Hg
1 1 3
direct
0.000 0.000 0.000 Ca
0.500 0.500 0.500 Ir
0.000 0.500 0.000 Hg
0.000 0.000 0.500 Hg
0.500 0.000 0.000 Hg
```

Output
Final energy, eV/atom: -1.27
Space-group type: Pm-3m
Density of states at the Fermi level, states/eV/f.u.: 7.7
Formation energy from the elements, meV/atom: 1466.2

***

Record 6
Computed, not measured: crystalline Ca2HgIr at its relaxed geometry at the GGA-PBEsol level of DFT.

```
Ca2HgIr
1.0
-1.603 -2.520 1.447
0.339 -2.615 -4.176
5.577 0.423 3.108
Ca Ir Hg
2 1 1
direct
0.953 0.953 0.906 Ca
0.759 0.259 0.518 Ca
0.242 0.742 0.483 Ir
0.546 0.546 0.092 Hg
```

Output
Final energy, eV/atom: -3.90
Space-group type: Imm2
Density of states at the Fermi level, states/eV/f.u.: 1.9
Formation energy from the elements, meV/atom: -238.1

***

Record 7
Computed, not measured: crystalline KCa2Hg at its relaxed geometry at the GGA-PBEsol level of DFT.

```
KCa2Hg
1.0
3.793 0.000 0.000
0.000 3.793 0.018
0.000 -0.057 10.420
K Ca Hg
1 2 1
direct
0.500 0.500 0.000 K
0.000 0.001 0.668 Ca
0.000 0.999 0.332 Ca
0.500 0.500 0.500 Hg
```

Output
Final energy, eV/atom: -1.74
Space-group type: P4/mmm
Density of states at the Fermi level, states/eV/f.u.: 2.9
Formation energy from the elements, meV/atom: -251.1

***

Record 8
Computed, not measured: crystalline KCa2Hg at its relaxed geometry at the GGA-PBEsol level of DFT.

```
KCa2Hg
1.0
-2.299 -5.199 -1.115
3.246 -4.772 0.507
-0.980 -3.723 4.329
Ca Hg K
2 1 1
direct
0.000 0.000 0.000 Ca
0.750 0.750 0.750 Ca
0.500 0.500 0.500 Hg
0.250 0.250 0.250 K
```

Output
Final energy, eV/atom: -1.44
Space-group type: F-43m
Density of states at the Fermi level, states/eV/f.u.: 5.9
Formation energy from the elements, meV/atom: 54.7

***

Record 9
Computed, not measured: crystalline K2CaHg at its relaxed geometry at the GGA-PBEsol level of DFT.

```
K2CaHg
1.0
4.071 0.062 0.103
-0.190 6.803 -0.005
-0.190 -3.242 5.980
Ca Hg K
1 1 2
direct
0.500 0.500 0.500 Ca
0.500 0.000 0.000 Hg
0.000 0.500 0.000 K
0.000 0.000 0.500 K
```

Output
Final energy, eV/atom: -1.16
Space-group type: C2/m
Density of states at the Fermi level, states/eV/f.u.: 3.1
Formation energy from the elements, meV/atom: 79.6

***

Record 10
Computed, not measured: crystalline KCa2HgPd at its relaxed geometry at the GGA-PBEsol level of DFT.

```
KCa2HgPd
1.0
-3.289 -2.179 3.762
1.959 -4.954 -1.156
4.234 0.714 4.115
K Ca Hg Pd
1 2 1 1
direct
0.000 0.000 0.500 K
0.000 0.500 0.000 Ca
0.500 0.000 0.000 Ca
0.500 0.500 0.500 Hg
0.000 0.000 0.000 Pd
```

Output
Final energy, eV/atom: -2.49
Space-group type: P4/mmm
Density of states at the Fermi level, states/eV/f.u.: 2.6
Formation energy from the elements, meV/atom: -106.6

***

Record 11
Computed, not measured: crystalline Ca2LaHg at its relaxed geometry at the GGA-PBEsol level of DFT.

```
Ca2LaHg
1.0
-3.418 -1.138 -0.935
1.191 -0.744 -3.447
2.232 -8.920 2.697
Ca Hg La
2 1 1
direct
0.000 0.000 0.000 Ca
0.500 0.500 0.307 Ca
0.000 0.000 0.494 Hg
0.500 0.500 0.699 La
```

Output
Final energy, eV/atom: -2.82
Space-group type: P4mm
Density of states at the Fermi level, states/eV/f.u.: 3.9
Formation energy from the elements, meV/atom: -272.6

***

Record 12
Computed, not measured: crystalline Ca2LaHg at its relaxed geometry at the GGA-PBEsol level of DFT.

```
Ca2LaHg
1.0
3.826 0.000 0.000
0.000 5.650 0.000
-1.913 -2.825 5.977
Ca Hg La
2 1 1
direct
0.794 0.794 0.588 Ca
0.206 0.206 0.412 Ca
0.500 0.000 0.000 Hg
0.000 0.500 0.000 La
```

Output
Final energy, eV/atom: -2.78
Space-group type: Immm
Density of states at the Fermi level, states/eV/f.u.: 4.4
Formation energy from the elements, meV/atom: -234.0

***

Record 13
Computed, not measured: crystalline Ca2LaHg at its relaxed geometry at the GGA-PBEsol level of DFT.

```
Ca2LaHg
1.0
3.611 0.000 0.000
0.000 3.611 0.000
0.000 0.000 9.721
Ca Hg La
2 1 1
direct
0.000 0.000 0.804 Ca
0.000 0.000 0.196 Ca
0.500 0.500 0.000 Hg
0.500 0.500 0.500 La
```

Output
Final energy, eV/atom: -2.79
Space-group type: P4/mmm
Density of states at the Fermi level, states/eV/f.u.: 5.2
Formation energy from the elements, meV/atom: -243.7

***

Record 14
Computed, not measured: crystalline Ca4LaHg at its relaxed geometry at the GGA-PBEsol level of DFT.

```
Ca4LaHg
1.0
-2.226 3.747 -5.166
-2.857 -2.980 -5.352
-6.639 0.653 -1.087
Ca Hg La
4 1 1
direct
0.375 0.375 0.375 Ca
0.375 0.375 0.875 Ca
0.875 0.375 0.375 Ca
0.375 0.875 0.375 Ca
0.750 0.750 0.750 Hg
0.000 0.000 0.000 La
```

Output
Final energy, eV/atom: -2.12
Space-group type: F-43m
Density of states at the Fermi level, states/eV/f.u.: 8.9
Formation energy from the elements, meV/atom: 282.7

***

Record 15
Computed, not measured: crystalline CaLa2Hg2 at its relaxed geometry at the GGA-PBEsol level of DFT.

```
CaLa2Hg2
1.0
3.907 0.000 0.000
0.000 8.784 0.000
0.000 0.000 8.784
Ca Hg La
2 4 4
direct
0.000 0.000 0.000 Ca
0.000 0.500 0.500 Ca
0.000 0.369 0.869 Hg
0.000 0.869 0.631 Hg
0.000 0.631 0.131 Hg
0.000 0.131 0.369 Hg
0.500 0.165 0.665 La
0.500 0.665 0.835 La
0.500 0.835 0.335 La
0.500 0.335 0.165 La
```

Output
Final energy, eV/atom: -3.26
Space-group type: P4/mbm
Density of states at the Fermi level, states/eV/f.u.: 4.9
Formation energy from the elements, meV/atom: -463.1

***

Record 16
Computed, not measured: crystalline NaCaLa2Hg at its relaxed geometry at the GGA-PBEsol level of DFT.

```
NaCaLa2Hg
1.0
-1.216 5.093 -0.688
-4.370 -0.540 3.730
3.526 1.428 4.339
Na Ca Hg La
1 1 1 2
direct
0.500 0.000 0.000 Na
0.000 0.000 0.000 Ca
0.500 0.500 0.500 Hg
0.000 0.000 0.500 La
0.000 0.500 0.000 La
```

Output
Final energy, eV/atom: -2.15
Space-group type: P4/mmm
Density of states at the Fermi level, states/eV/f.u.: 5.2
Formation energy from the elements, meV/atom: 806.9

***

Record 17
Computed, not measured: crystalline LiCa2Hg at its relaxed geometry at the GGA-PBEsol level of DFT.

```
LiCa2Hg
1.0
-2.550 0.391 -2.601
-3.615 -2.560 3.159
1.108 5.511 2.323
Ca Hg Li
2 1 1
direct
0.012 0.035 0.024 Ca
0.219 0.687 0.438 Ca
0.478 0.513 0.956 Hg
0.791 0.265 0.582 Li
```

Output
Final energy, eV/atom: -1.99
Space-group type: Cm
Density of states at the Fermi level, states/eV/f.u.: 3.0
Formation energy from the elements, meV/atom: -291.6

***

Record 18
Computed, not measured: crystalline LiCaHg2 at its relaxed geometry at the GGA-PBEsol level of DFT.

```
LiCaHg2
1.0
4.947 0.000 0.000
0.000 4.946 0.000
-2.473 -2.473 3.503
Ca Hg Li
1 2 1
direct
0.750 0.250 0.500 Ca
0.000 0.000 0.000 Hg
0.250 0.750 0.500 Hg
0.500 0.500 0.000 Li
```

Output
Final energy, eV/atom: -1.75
Space-group type: F-43m
Density of states at the Fermi level, states/eV/f.u.: 2.0
Formation energy from the elements, meV/atom: -439.6

***

Record 19
Computed, not measured: crystalline Li2CaHg2 at its relaxed geometry at the GGA-PBEsol level of DFT.

```
Li2CaHg2
1.0
3.462 0.000 0.000
0.000 7.949 0.000
0.000 0.000 7.949
Ca Hg Li
2 4 4
direct
0.000 0.000 0.000 Ca
0.000 0.500 0.500 Ca
0.000 0.365 0.865 Hg
0.000 0.865 0.635 Hg
0.000 0.635 0.135 Hg
0.000 0.135 0.365 Hg
0.500 0.156 0.656 Li
0.500 0.656 0.844 Li
0.500 0.844 0.344 Li
0.500 0.344 0.156 Li
```

Output
Final energy, eV/atom: -1.79
Space-group type: P4/mbm
Density of states at the Fermi level, states/eV/f.u.: 2.1
Formation energy from the elements, meV/atom: -349.2

***

Record 20
Computed, not measured: crystalline Li2Ca2Hg at its relaxed geometry at the GGA-PBEsol level of DFT.

```
Li2Ca2Hg
1.0
3.816 0.000 0.000
0.000 3.816 0.000
-1.908 -1.908 9.255
Ca Hg Li
2 1 2
direct
0.405 0.405 0.810 Ca
0.595 0.595 0.190 Ca
0.000 0.000 0.000 Hg
0.250 0.750 0.500 Li
0.750 0.250 0.500 Li
```

Output
Final energy, eV/atom: -1.94
Space-group type: I4/mmm
Density of states at the Fermi level, states/eV/f.u.: 2.6
Formation energy from the elements, meV/atom: -182.5

***

Record 21
Computed, not measured: crystalline Li2CaHg2 at its relaxed geometry at the GGA-PBEsol level of DFT.

```
Li2CaHg2
1.0
4.104 0.000 0.000
0.000 4.104 0.000
-2.052 -2.052 6.589
Ca Hg Li
1 2 2
direct
0.000 0.000 0.000 Ca
0.389 0.389 0.778 Hg
0.611 0.611 0.222 Hg
0.250 0.750 0.500 Li
0.750 0.250 0.500 Li
```

Output
Final energy, eV/atom: -1.85
Space-group type: I4/mmm
Density of states at the Fermi level, states/eV/f.u.: 2.6
Formation energy from the elements, meV/atom: -409.3

***

Record 22
Computed, not measured: crystalline LiCa2Hg at its relaxed geometry at the GGA-PBEsol level of DFT.

```
LiCa2Hg
1.0
3.737 0.000 0.000
0.000 3.737 0.000
0.000 0.000 7.907
Ca Hg Li
2 1 1
direct
0.000 0.000 0.951 Ca
0.500 0.500 0.312 Ca
0.000 0.000 0.540 Hg
0.500 0.500 0.697 Li
```

Output
Final energy, eV/atom: -1.99
Space-group type: P4mm
Density of states at the Fermi level, states/eV/f.u.: 3.1
Formation energy from the elements, meV/atom: -290.0

***

Record 23
Computed, not measured: crystalline LiCa2Hg at its relaxed geometry at the GGA-PBEsol level of DFT.

```
LiCa2Hg
1.0
4.238 0.000 0.000
0.000 4.561 0.000
-2.119 0.000 5.864
Ca Hg Li
2 1 1
direct
0.106 0.000 0.211 Ca
0.400 0.500 0.800 Ca
0.823 0.000 0.646 Hg
0.692 0.500 0.384 Li
```

Output
Final energy, eV/atom: -2.02
Space-group type: Amm2
Density of states at the Fermi level, states/eV/f.u.: 2.8
Formation energy from the elements, meV/atom: -318.6

***

Record 24
Computed, not measured: crystalline LiCa2Hg at its relaxed geometry at the GGA-PBEsol level of DFT.

```
LiCa2Hg
1.0
-0.579 2.210 -3.006
0.501 -2.968 -2.279
-7.696 -1.557 0.337
Ca Hg Li
2 1 1
direct
0.000 0.000 0.773 Ca
0.000 0.000 0.227 Ca
0.500 0.500 0.000 Hg
0.500 0.500 0.500 Li
```

Output
Final energy, eV/atom: -2.03
Space-group type: P4/mmm
Density of states at the Fermi level, states/eV/f.u.: 2.9
Formation energy from the elements, meV/atom: -326.7

***

Record 25
Computed, not measured: crystalline Li3CaHg at its relaxed geometry at the GGA-PBEsol level of DFT.

```
Li3CaHg
1.0
-4.867 -0.237 -1.189
0.863 -4.131 -2.710
-0.852 -2.834 4.049
Ca Hg Li
1 1 3
direct
0.500 0.500 0.500 Ca
0.000 0.000 0.000 Hg
0.000 0.500 0.000 Li
0.000 0.000 0.500 Li
0.500 0.000 0.000 Li
```

Output
Final energy, eV/atom: -1.81
Space-group type: Pm-3m
Density of states at the Fermi level, states/eV/f.u.: 3.4
Formation energy from the elements, meV/atom: -87.8

***

Record 26
Computed, not measured: crystalline LiCa2Hg at its relaxed geometry at the GGA-PBEsol level of DFT.

```
LiCa2Hg
1.0
-3.291 -1.575 -0.800
2.501 -4.445 -1.536
0.079 1.051 6.324
Ca Hg Li
2 1 1
direct
0.008 0.008 0.017 Ca
0.217 0.717 0.434 Ca
0.479 0.479 0.959 Hg
0.796 0.296 0.591 Li
```

Output
Final energy, eV/atom: -1.99
Space-group type: Imm2
Density of states at the Fermi level, states/eV/f.u.: 3.2
Formation energy from the elements, meV/atom: -289.4

***

Record 27
Computed, not measured: crystalline LiCaHg2 at its relaxed geometry at the GGA-PBEsol level of DFT.

```
LiCaHg2
1.0
-0.936 -0.203 -3.675
-3.686 -3.051 1.107
-3.011 3.839 0.556
Ca Hg Li
1 2 1
direct
0.375 0.500 0.874 Ca
0.875 0.000 0.877 Hg
0.875 0.500 0.374 Hg
0.375 0.000 0.375 Li
```

Output
Final energy, eV/atom: -1.74
Space-group type: Pmm2
Density of states at the Fermi level, states/eV/f.u.: 2.6
Formation energy from the elements, meV/atom: -434.8

***

Record 28
Computed, not measured: crystalline LiCaNb2Hg at its relaxed geometry at the GGA-PBEsol level of DFT.

```
LiCaNb2Hg
1.0
-2.472 3.626 1.074
-2.648 -0.744 -3.584
-2.887 -2.771 2.708
Nb Ca Hg Li
2 1 1 1
direct
0.000 0.500 0.000 Nb
0.500 0.000 0.000 Nb
0.500 0.500 0.500 Ca
0.000 0.000 0.500 Hg
0.000 0.000 0.000 Li
```

Output
Final energy, eV/atom: -4.39
Space-group type: P4/mmm
Density of states at the Fermi level, states/eV/f.u.: 6.1
Formation energy from the elements, meV/atom: 867.1

***

Record 29
Computed, not measured: crystalline CaMg2Hg2 at its relaxed geometry at the GGA-PBEsol level of DFT.

```
CaMg2Hg2
1.0
-2.037 -2.032 2.032
3.316 -6.675 -3.351
5.785 -0.025 5.773
Mg Ca Hg
4 2 4
direct
0.500 0.154 0.654 Mg
0.500 0.654 0.846 Mg
0.500 0.846 0.346 Mg
0.500 0.346 0.154 Mg
0.000 0.000 0.000 Ca
0.000 0.500 0.500 Ca
0.000 0.359 0.859 Hg
0.000 0.859 0.641 Hg
0.000 0.641 0.141 Hg
0.000 0.141 0.359 Hg
```

Output
Final energy, eV/atom: -1.68
Space-group type: P4/mbm
Density of states at the Fermi level, states/eV/f.u.: 2.2
Formation energy from the elements, meV/atom: -340.0